OsSe4Cl | GGA-PBE | relaxed

Results
For the magnetization, the calculation gives 15.66 Bohr magnetons per cell. The calculation puts the final energy at -3.27 eV per atom. The calculation puts the energy relative to the elements, uncorrected at 1236 meV/atom. As for the density of states at the Fermi level: 30.70 states/eV/cell.

abc: 7.9556 7.9556 7.9556
angles: 90.00 90.00 90.00
Space group F-43m (No. 216)
Symmetry-distinct sites (fractional):
Os: 0.0000 0.0000 0.0000 (multiplicity 4)
Se: 0.1257 0.1257 0.6257 (multiplicity 16)
Cl: 0.2500 0.2500 0.2500 (multiplicity 4)